No. 1
{
  "formula": "BeAl2Se",
  "functional": "PBE-GGA",
  "state": "optimized geometry",
  "lattice": [[2.7144, -3.6361, 0.0000], [2.7144, 3.6361, 0.0000], [0.0000, 0.0000, 3.2927]],
  "species": ["Be", "Al", "Al", "Se"],
  "frac_coords": [[0.0000, 0.0000, 0.0000], [0.0000, 0.5000, 0.5000], [0.5000, 0.0000, 0.5000], [0.5000, 0.5000, 0.0000]],
  "mass_density_g_cm3": 3.6,
  "relative_energy_mev_per_atom": 236,
  "m_tot_mub_per_cell": 0.0,
  "formation_energy_uncorrected_ev_per_atom": 0.282
}


No. 2
{
  "formula": "Al4Ag",
  "functional": "PBE-GGA",
  "state": "optimized geometry",
  "lattice": [[-3.1649, 3.1649, 2.1103], [3.1649, -3.1649, 2.1103], [3.1649, 3.1649, -2.1103]],
  "species": ["Al", "Al", "Al", "Al", "Ag"],
  "frac_coords": [[0.1036, 0.3040, 0.4076], [0.3040, 0.8964, 0.2003], [0.6960, 0.1036, 0.7997], [0.8964, 0.6960, 0.5924], [0.5000, 0.5000, 0.0000]],
  "mass_density_g_cm3": 4.2,
  "formation_energy_ev_per_fu": 0.1,
  "relative_energy_mev_per_atom": 28,
  "m_tot_mub_per_cell": 0.0
}


No. 3
{
  "formula": "MgO",
  "functional": "PBE-GGA",
  "state": "optimized geometry",
  "lattice": [[-3.4901, 3.4901, 2.1011], [3.4901, -3.4901, 2.1011], [3.4901, 3.4901, -2.1011]],
  "species": ["Mg", "Mg", "Mg", "Mg", "O", "O", "O", "O"],
  "frac_coords": [[0.1476, 0.6476, 0.7951], [0.3524, 0.1476, 0.5000], [0.6476, 0.8524, 0.5000], [0.8524, 0.3524, 0.2049], [0.1493, 0.3507, 0.5000], [0.3507, 0.8507, 0.2015], [0.6493, 0.1493, 0.7985], [0.8507, 0.6493, 0.5000]],
  "mass_density_g_cm3": 2.6,
  "m_tot_mub_per_cell": 0.0,
  "formation_energy_uncorrected_ev_per_atom": -2.608
}


No. 4
{
  "formula": "Ho3Fe2Si3",
  "functional": "PBE-GGA",
  "state": "optimized geometry",
  "lattice": [[2.0355, -5.2337, 0.0000], [2.0355, 5.2337, 0.0000], [0.0000, 0.0000, 13.5354]],
  "species": ["Ho", "Ho", "Ho", "Ho", "Ho", "Ho", "Fe", "Fe", "Fe", "Fe", "Si", "Si", "Si", "Si", "Si", "Si"],
  "frac_coords": [[0.0809, 0.9191, 0.6120], [0.0809, 0.9191, 0.8880], [0.3650, 0.6350, 0.7500], [0.6350, 0.3650, 0.2500], [0.9191, 0.0809, 0.1120], [0.9191, 0.0809, 0.3880], [0.2149, 0.7851, 0.0806], [0.2149, 0.7851, 0.4194], [0.7851, 0.2149, 0.5806], [0.7851, 0.2149, 0.9194], [0.3237, 0.6763, 0.2500], [0.3751, 0.6249, 0.5398], [0.3751, 0.6249, 0.9602], [0.6249, 0.3751, 0.0398], [0.6249, 0.3751, 0.4602], [0.6763, 0.3237, 0.7500]],
  "mass_density_g_cm3": 8.0,
  "m_tot_mub_per_cell": 0.0,
  "formation_energy_uncorrected_ev_per_atom": -0.676
}


No. 5
{
  "formula": "CoNi2Mo",
  "functional": "PBE-GGA",
  "state": "optimized geometry",
  "lattice": [[2.5942, 0.0000, 0.0000], [0.0000, 2.5942, 0.0000], [0.0000, 0.0000, 7.2297]],
  "species": ["Co", "Ni", "Ni", "Mo"],
  "frac_coords": [[0.0000, 0.0000, 0.0000], [0.0000, 0.0000, 0.5359], [0.5000, 0.5000, 0.7746], [0.5000, 0.5000, 0.2715]],
  "mass_density_g_cm3": 9.3,
  "formation_energy_ev_per_fu": 0.2,
  "relative_energy_mev_per_atom": 109,
  "m_tot_mub_per_cell": 2.5
}


No. 6
{
  "formula": "Ba3HgPt8",
  "functional": "PBE-GGA",
  "state": "optimized geometry",
  "lattice": [[2.8202, 1.6283, 9.1799], [-2.8202, 1.6283, 9.1799], [0.0000, -3.2565, 9.1799]],
  "species": ["Ba", "Ba", "Ba", "Hg", "Pt", "Pt", "Pt", "Pt", "Pt", "Pt", "Pt", "Pt"],
  "frac_coords": [[0.0000, 0.0000, 0.0000], [0.1275, 0.1275, 0.1275], [0.6201, 0.6201, 0.6201], [0.4981, 0.4981, 0.4981], [0.0607, 0.0607, 0.5605], [0.0607, 0.5605, 0.0607], [0.0670, 0.5620, 0.5620], [0.3119, 0.3119, 0.3119], [0.5605, 0.0607, 0.0607], [0.5620, 0.0670, 0.5620], [0.5620, 0.5620, 0.0670], [0.8126, 0.8126, 0.8126]],
  "mass_density_g_cm3": 14.3,
  "formation_energy_ev_per_fu": -7.2,
  "m_tot_mub_per_cell": 0.0
}


No. 7
{
  "formula": "NaSr3Ho2Te6",
  "functional": "PBE-GGA",
  "state": "optimized geometry",
  "lattice": [[3.9546, -6.8454, 0.0000], [3.9546, 6.8454, 0.0000], [-2.6325, 0.0000, 7.4754]],
  "species": ["Na", "Sr", "Sr", "Sr", "Ho", "Ho", "Te", "Te", "Te", "Te", "Te", "Te"],
  "frac_coords": [[0.0000, 0.0000, 0.0000], [0.1629, 0.8371, 0.5000], [0.5000, 0.5000, 0.5000], [0.8371, 0.1629, 0.5000], [0.3323, 0.6677, 0.0000], [0.6677, 0.3323, 0.0000], [0.0775, 0.4204, 0.2314], [0.2665, 0.2665, 0.7722], [0.4204, 0.0775, 0.2314], [0.5796, 0.9225, 0.7686], [0.7335, 0.7335, 0.2278], [0.9225, 0.5796, 0.7686]],
  "mass_density_g_cm3": 5.7,
  "m_tot_mub_per_cell": 0.0,
  "formation_energy_uncorrected_ev_per_atom": -1.493
}


No. 8
{
  "formula": "LaTmCuAg",
  "functional": "PBE-GGA",
  "state": "optimized geometry",
  "lattice": [[3.5614, 0.0000, 0.0000], [0.0000, 3.5614, 0.0000], [0.0000, 0.0000, 7.4710]],
  "species": ["La", "Tm", "Cu", "Ag"],
  "frac_coords": [[0.0000, 0.0000, 0.0000], [0.0000, 0.0000, 0.5284], [0.5000, 0.5000, 0.7321], [0.5000, 0.5000, 0.2962]],
  "mass_density_g_cm3": 8.4,
  "formation_energy_ev_per_fu": -1.0,
  "relative_energy_mev_per_atom": 0,
  "m_tot_mub_per_cell": 0.0
}


No. 9
{
  "formula": "ZnCdCu2",
  "functional": "PBE-GGA",
  "state": "optimized geometry",
  "lattice": [[-1.9828, 1.9828, 3.7673], [1.9828, -1.9828, 3.7673], [1.9828, 1.9828, -3.7673]],
  "species": ["Zn", "Cd", "Cu", "Cu"],
  "frac_coords": [[0.0000, 0.0000, 0.0000], [0.5000, 0.5000, 0.0000], [0.2500, 0.7500, 0.5000], [0.7500, 0.2500, 0.5000]],
  "mass_density_g_cm3": 8.5,
  "formation_energy_ev_per_fu": 0.1,
  "m_tot_mub_per_cell": 0.0
}


No. 10
{
  "formula": "Sr3Tb3PmTe8",
  "functional": "PBE-GGA",
  "state": "optimized geometry",
  "lattice": [[4.4630, 2.5767, 7.6230], [-4.4630, 2.5767, 7.6230], [0.0000, -5.1534, 7.6230]],
  "species": ["Sr", "Sr", "Sr", "Tb", "Tb", "Tb", "Pm", "Te", "Te", "Te", "Te", "Te", "Te", "Te", "Te"],
  "frac_coords": [[0.0000, 0.5000, 0.5000], [0.5000, 0.0000, 0.5000], [0.5000, 0.5000, 0.0000], [0.0000, 0.0000, 0.5000], [0.0000, 0.5000, 0.0000], [0.5000, 0.0000, 0.0000], [0.5000, 0.5000, 0.5000], [0.2357, 0.7499, 0.7499], [0.2440, 0.2440, 0.2440], [0.2501, 0.2501, 0.7643], [0.2501, 0.7643, 0.2501], [0.7499, 0.2357, 0.7499], [0.7499, 0.7499, 0.2357], [0.7560, 0.7560, 0.7560], [0.7643, 0.2501, 0.2501]],
  "mass_density_g_cm3": 6.0,
  "m_tot_mub_per_cell": 0.0,
  "formation_energy_uncorrected_ev_per_atom": -1.528
}


No. 11
{
  "formula": "Ge2Te2Se",
  "functional": "PBE-GGA",
  "state": "optimized geometry",
  "lattice": [[1.9829, -11.7631, 0.0000], [1.9829, 11.7631, 0.0000], [0.0000, 0.0000, 5.7932]],
  "species": ["Ge", "Ge", "Ge", "Ge", "Te", "Te", "Te", "Te", "Se", "Se"],
  "frac_coords": [[0.1092, 0.8908, 0.5000], [0.3096, 0.6904, 0.4496], [0.6904, 0.3096, 0.9496], [0.8908, 0.1092, 0.0000], [0.2956, 0.7044, 0.9390], [0.4820, 0.5180, 0.0006], [0.5180, 0.4820, 0.5006], [0.7044, 0.2956, 0.4390], [0.1157, 0.8843, 0.9415], [0.8843, 0.1157, 0.4415]],
  "mass_density_g_cm3": 5.9,
  "relative_energy_mev_per_atom": 0,
  "m_tot_mub_per_cell": 0.0,
  "formation_energy_uncorrected_ev_per_atom": -0.082
}


No. 12
{
  "formula": "Sc2AgPb",
  "functional": "PBE-GGA",
  "state": "optimized geometry",
  "lattice": [[3.5112, 0.0000, 0.0000], [0.0000, 3.5850, 0.0000], [0.0000, 0.0000, 7.0855]],
  "species": ["Sc", "Sc", "Ag", "Pb"],
  "frac_coords": [[0.0000, 0.0000, 0.2312], [0.0000, 0.0000, 0.7688], [0.5000, 0.5000, 0.0000], [0.5000, 0.5000, 0.5000]],
  "mass_density_g_cm3": 7.5,
  "formation_energy_ev_per_fu": -1.2,
  "m_tot_mub_per_cell": 0.3
}


No. 13
{
  "formula": "Cs2NbCl2F4",
  "functional": "PBE-GGA",
  "state": "optimized geometry",
  "lattice": [[6.4674, -3.3321, 0.0000], [6.4674, 3.3321, 0.0000], [-0.2837, 0.0000, 5.4688]],
  "species": ["Cs", "Cs", "Nb", "Cl", "Cl", "F", "F", "F", "F"],
  "frac_coords": [[0.1438, 0.1438, 0.1516], [0.8562, 0.8562, 0.8484], [0.5000, 0.5000, 0.5000], [0.3237, 0.3237, 0.6640], [0.6763, 0.6763, 0.3360], [0.2330, 0.6786, 0.2739], [0.3214, 0.7670, 0.7261], [0.6786, 0.2330, 0.2739], [0.7670, 0.3214, 0.7261]],
  "mass_density_g_cm3": 3.6,
  "m_tot_mub_per_cell": 1.0,
  "formation_energy_uncorrected_ev_per_atom": -2.536
}


No. 14
{
  "formula": "Mg2CdB2Pd5",
  "functional": "PBE-GGA",
  "state": "optimized geometry",
  "lattice": [[9.6807, 0.0000, 0.0000], [0.0000, 9.6807, 0.0000], [0.0000, 0.0000, 3.1125]],
  "species": ["Mg", "Mg", "Mg", "Mg", "Cd", "Cd", "B", "B", "B", "B", "Pd", "Pd", "Pd", "Pd", "Pd", "Pd", "Pd", "Pd", "Pd", "Pd"],
  "frac_coords": [[0.1767, 0.3233, 0.0000], [0.3233, 0.8233, 0.0000], [0.6767, 0.1767, 0.0000], [0.8233, 0.6767, 0.0000], [0.0000, 0.0000, 0.0000], [0.5000, 0.5000, 0.0000], [0.1225, 0.6225, 0.0000], [0.3775, 0.1225, 0.0000], [0.6225, 0.8775, 0.0000], [0.8775, 0.3775, 0.0000], [0.0000, 0.5000, 0.5000], [0.0715, 0.7740, 0.5000], [0.2260, 0.0715, 0.5000], [0.2740, 0.5715, 0.5000], [0.4285, 0.2740, 0.5000], [0.5000, 0.0000, 0.5000], [0.5715, 0.7260, 0.5000], [0.7260, 0.4285, 0.5000], [0.7740, 0.9285, 0.5000], [0.9285, 0.2260, 0.5000]],
  "mass_density_g_cm3": 8.1,
  "formation_energy_ev_per_fu": -4.2,
  "m_tot_mub_per_cell": 0.0
}


No. 15
{
  "formula": "Pr3GeIr",
  "functional": "PBE-GGA",
  "state": "optimized geometry",
  "lattice": [[7.6867, -2.1916, 0.0000], [7.6867, 2.1916, 0.0000], [-0.0845, 0.0000, 8.4998]],
  "species": ["Pr", "Pr", "Pr", "Pr", "Pr", "Pr", "Ge", "Ge", "Ir", "Ir"],
  "frac_coords": [[0.0500, 0.0500, 0.1703], [0.2458, 0.2458, 0.8042], [0.3860, 0.3860, 0.4418], [0.6140, 0.6140, 0.5582], [0.7542, 0.7542, 0.1958], [0.9500, 0.9500, 0.8297], [0.3908, 0.3908, 0.0712], [0.6092, 0.6092, 0.9288], [0.1931, 0.1931, 0.4052], [0.8069, 0.8069, 0.5948]],
  "mass_density_g_cm3": 8.0,
  "formation_energy_ev_per_fu": -2.9,
  "m_tot_mub_per_cell": 0.0
}


No. 16
{
  "formula": "Sr2ZrZn",
  "functional": "PBE-GGA",
  "state": "optimized geometry",
  "lattice": [[-2.4633, 2.4633, 5.2159], [2.4633, -2.4633, 5.2159], [2.4633, 2.4633, -5.2159]],
  "species": ["Sr", "Sr", "Zr", "Zn"],
  "frac_coords": [[0.0000, 0.0000, 0.0000], [0.7500, 0.2500, 0.5000], [0.5000, 0.5000, 0.0000], [0.2500, 0.7500, 0.5000]],
  "mass_density_g_cm3": 4.4,
  "formation_energy_ev_per_fu": 2.0,
  "m_tot_mub_per_cell": 2.9
}


No. 17
{
  "formula": "K2Os",
  "functional": "PBE-GGA",
  "state": "optimized geometry",
  "lattice": [[6.1519, 0.0000, 0.0000], [0.0000, 6.1519, 0.0000], [0.0000, 0.0000, 2.6960]],
  "species": ["K", "K", "Os"],
  "frac_coords": [[0.0000, 0.5000, 0.0000], [0.5000, 0.0000, 0.0000], [0.0000, 0.0000, 0.5000]],
  "mass_density_g_cm3": 4.4,
  "formation_energy_ev_per_fu": 4.0,
  "relative_energy_mev_per_atom": 653,
  "m_tot_mub_per_cell": 0.7
}


No. 18
{
  "formula": "CsZrCu2Br8",
  "functional": "PBE-GGA",
  "state": "optimized geometry",
  "lattice": [[5.4815, -3.7789, 0.0000], [5.4815, 3.7789, 0.0000], [-1.3364, 0.0000, 10.3985]],
  "species": ["Cs", "Zr", "Cu", "Cu", "Br", "Br", "Br", "Br", "Br", "Br", "Br", "Br"],
  "frac_coords": [[0.0000, 0.0000, 0.0000], [0.0000, 0.0000, 0.5000], [0.3663, 0.3663, 0.7097], [0.6337, 0.6337, 0.2903], [0.2269, 0.7371, 0.3165], [0.2431, 0.2431, 0.5029], [0.2629, 0.7731, 0.6835], [0.3339, 0.3339, 0.9226], [0.6661, 0.6661, 0.0774], [0.7371, 0.2269, 0.3165], [0.7569, 0.7569, 0.4971], [0.7731, 0.2629, 0.6835]],
  "mass_density_g_cm3": 3.8,
  "m_tot_mub_per_cell": 1.2,
  "formation_energy_uncorrected_ev_per_atom": -0.965
}


No. 19
{
  "formula": "SmLuTl",
  "functional": "PBE-GGA",
  "state": "optimized geometry",
  "lattice": [[-1.7960, 1.7960, 6.8028], [1.7960, -1.7960, 6.8028], [1.7960, 1.7960, -6.8028]],
  "species": ["Sm", "Lu", "Tl"],
  "frac_coords": [[0.0000, 0.0000, 0.0000], [0.3152, 0.3152, 0.0000], [0.6643, 0.6643, 0.0000]],
  "mass_density_g_cm3": 10.0,
  "formation_energy_ev_per_fu": -0.6,
  "relative_energy_mev_per_atom": 0,
  "m_tot_mub_per_cell": 0.0
}


No. 20
{
  "formula": "ZnCuAu2",
  "functional": "PBE-GGA",
  "state": "optimized geometry",
  "lattice": [[2.9526, 0.0000, 0.0000], [0.0000, 4.1899, 0.0000], [-1.3036, 0.0000, 5.0908]],
  "species": ["Zn", "Cu", "Au", "Au"],
  "frac_coords": [[0.0000, 0.0000, 0.0000], [0.8681, 0.5000, 0.7205], [0.2822, 0.0000, 0.5350], [0.5903, 0.5000, 0.1908]],
  "mass_density_g_cm3": 13.8,
  "formation_energy_ev_per_fu": -0.5,
  "m_tot_mub_per_cell": 0.0
}


No. 21
{
  "formula": "Ca4Ag2HgPd",
  "functional": "PBE-GGA",
  "state": "optimized geometry",
  "lattice": [[2.6110, 1.5074, 8.4894], [-2.6110, 1.5074, 8.4894], [0.0000, -3.0149, 8.4894]],
  "species": ["Ca", "Ca", "Ca", "Ca", "Ag", "Ag", "Hg", "Pd"],
  "frac_coords": [[0.1200, 0.1200, 0.1200], [0.3708, 0.3708, 0.3708], [0.6292, 0.6292, 0.6292], [0.8800, 0.8800, 0.8800], [0.2482, 0.2482, 0.2482], [0.7518, 0.7518, 0.7518], [0.5000, 0.5000, 0.5000], [0.0000, 0.0000, 0.0000]],
  "mass_density_g_cm3": 5.7,
  "formation_energy_ev_per_fu": -3.6,
  "m_tot_mub_per_cell": 0.0
}


No. 22
{
  "formula": "Pr2Cd3Rh",
  "functional": "PBE-GGA",
  "state": "optimized geometry",
  "lattice": [[3.6906, 0.0000, 0.0000], [0.0000, 4.9479, 0.0000], [0.0000, 0.0000, 8.4023]],
  "species": ["Pr", "Pr", "Cd", "Cd", "Cd", "Rh"],
  "frac_coords": [[0.0000, 0.0000, 0.0000], [0.0000, 0.5000, 0.4197], [0.5000, 0.0000, 0.6067], [0.5000, 0.5000, 0.1128], [0.5000, 0.5000, 0.7750], [0.5000, 0.0000, 0.2723]],
  "mass_density_g_cm3": 7.8,
  "formation_energy_ev_per_fu": -2.3,
  "m_tot_mub_per_cell": 0.0
}


No. 23
{
  "formula": "ZrCdOs",
  "functional": "PBE-GGA",
  "state": "optimized geometry",
  "lattice": [[-2.6129, 3.3854, 3.3740], [2.6129, -3.3854, 3.3740], [2.6129, 3.3854, -3.3740]],
  "species": ["Zr", "Zr", "Cd", "Cd", "Os", "Os"],
  "frac_coords": [[0.1772, 0.2500, 0.4272], [0.8228, 0.7500, 0.5728], [0.5372, 0.9276, 0.1096], [0.8179, 0.4276, 0.8904], [0.3085, 0.3085, 0.0000], [0.3085, 0.8085, 0.5000]],
  "mass_density_g_cm3": 11.0,
  "formation_energy_ev_per_fu": 0.0,
  "relative_energy_mev_per_atom": 107,
  "m_tot_mub_per_cell": 0.0
}


No. 24
{
  "formula": "AlReAg2",
  "functional": "PBE-GGA",
  "state": "optimized geometry",
  "lattice": [[1.4095, 0.8138, 9.3528], [-1.4095, 0.8138, 9.3528], [0.0000, -1.6276, 9.3528]],
  "species": ["Al", "Re", "Ag", "Ag"],
  "frac_coords": [[0.0000, 0.0000, 0.0000], [0.5000, 0.5000, 0.5000], [0.2526, 0.2526, 0.2526], [0.7474, 0.7474, 0.7474]],
  "mass_density_g_cm3": 11.1,
  "formation_energy_ev_per_fu": 1.4,
  "m_tot_mub_per_cell": 0.0
}